Pr4SmY10 after structural relaxation, computed with PBE-GGA.

Unit cell a=10.6873 b=8.7779 c=8.7779 alpha=68.25 beta=52.50 gamma=52.50
Element x y z (fractional)
Y  0.2250  0.3233  0.9054
Y  0.2500  0.5000  0.5000
Y  0.5463  0.3233  0.9054
Y  0.4537  0.6767  0.0946
Y  0.7500  0.5000  0.5000
Y  0.8696  0.9054  0.6767
Y  0.5483  0.9054  0.6767
Y  0.7750  0.6767  0.0946
Y  0.1304  0.0946  0.3233
Y  0.4517  0.0946  0.3233
Pr  0.6663  0.2673  0.4002
Pr  0.9335  0.4002  0.7327
Pr  0.0665  0.5998  0.2673
Pr  0.3337  0.7327  0.5998
Sm  0.0000  0.0000  0.0000

## Properties
- calculated formation energy (meV/atom) = 346
- mass density (g cm⁻³) = 5.14
- DOS at the Fermi energy (states/eV per cell) = 24.55
- total moment (μB per cell) = 0.000



Pr3SmY after structural relaxation, computed with PBE-GGA.

Unit cell a=5.1894 b=6.3520 c=11.6323 alpha=89.87 beta=90.02 gamma=114.15
Element x y z (fractional)
Y  0.6496  0.2995  0.0496
Y  0.3504  0.7005  0.9504
Pr  0.8502  0.7009  0.4495
Pr  0.0508  0.1011  0.8516
Pr  0.2495  0.4989  0.2480
Pr  0.9492  0.8989  0.1484
Pr  0.7505  0.5011  0.7520
Pr  0.1498  0.2991  0.5505
Sm  0.5498  0.0997  0.3489
Sm  0.4502  0.9003  0.6511

## Properties
- calculated formation energy (meV/atom) = 14
- mass density (g cm⁻³) = 6.28
- DOS at the Fermi energy (states/eV per cell) = 15.01
- total moment (μB per cell) = 0.000



Pr4Sm4Y after structural relaxation, computed with PBE-GGA.

Unit cell a=5.7064 b=9.0379 c=9.1731 alpha=45.05 beta=71.75 gamma=71.45
Element x y z (fractional)
Pr  0.7179  0.8549  0.7091
Pr  0.1320  0.6970  0.0377
Pr  0.2821  0.1451  0.2909
Pr  0.8680  0.3030  0.9623
Y  0.5000  0.0000  0.0000
Sm  0.9276  0.7685  0.3790
Sm  0.6275  0.4289  0.3150
Sm  0.0724  0.2315  0.6210
Sm  0.3725  0.5711  0.6850

## Properties
- calculated formation energy (meV/atom) = 97
- mass density (g cm⁻³) = 6.62
- DOS at the Fermi energy (states/eV per cell) = 15.57
- total moment (μB per cell) = 0.000



Pr3Sm6Y after structural relaxation, computed with PBE-GGA.

Unit cell a=7.0592 b=13.0056 c=10.1263 alpha=148.87 beta=110.40 gamma=90.00
Element x y z (fractional)
Pr  0.3041  0.7696  0.6083
Pr  0.0000  0.0000  0.0000
Pr  0.6959  0.2304  0.3917
Sm  0.2147  0.6970  0.8859
Sm  0.3289  0.3030  0.1141
Sm  0.1716  0.8362  0.3431
Sm  0.8284  0.1638  0.6569
Sm  0.6711  0.6970  0.8859
Sm  0.7853  0.3030  0.1141
Y  0.5000  0.5000  0.0000

## Properties
- calculated formation energy (meV/atom) = 264
- mass density (g cm⁻³) = 6.61
- DOS at the Fermi energy (states/eV per cell) = 16.66
- total moment (μB per cell) = 0.000



Pr2Sm4Y after structural relaxation, computed with PBE-GGA.

Unit cell a=13.4929 b=6.6410 c=10.9567 alpha=90.00 beta=90.00 gamma=90.00
Element x y z (fractional)
Sm  0.7501  0.7500  0.0155
Sm  0.2499  0.2500  0.9845
Sm  0.2501  0.7500  0.4845
Sm  0.6623  0.9999  0.7599
Sm  0.7501  0.7500  0.5155
Sm  0.7499  0.2500  0.0155
Sm  0.7499  0.2500  0.5155
Sm  0.2501  0.7500  0.9845
Sm  0.8377  0.4999  0.7599
Sm  0.6623  0.5001  0.2599
Sm  0.1623  0.5001  0.2401
Sm  0.3377  0.4999  0.7401
Sm  0.8377  0.0001  0.2599
Sm  0.1623  0.9999  0.7401
Sm  0.2499  0.2500  0.4845
Sm  0.3377  0.0001  0.2401
Pr  0.9238  0.5000  0.3316
Pr  0.5762  0.0000  0.3316
Pr  0.0762  0.0000  0.1684
Pr  0.4238  0.0000  0.6684
Pr  0.5762  0.5000  0.8316
Pr  0.4238  0.5000  0.1684
Pr  0.0762  0.5000  0.6684
Pr  0.9238  0.0000  0.8316
Y  0.0000  0.0000  0.5000
Y  0.5000  0.0000  0.0000
Y  0.0000  0.5000  0.0000
Y  0.5000  0.5000  0.5000

## Properties
- calculated formation energy (meV/atom) = 164
- mass density (g cm⁻³) = 6.58
- DOS at the Fermi energy (states/eV per cell) = 39.37
- total moment (μB per cell) = 0.000



Pr3Sm4Y2 after structural relaxation, computed with PBE-GGA.

Unit cell a=3.6480 b=8.1723 c=10.9117 alpha=76.84 beta=90.00 gamma=102.90
Element x y z (fractional)
Pr  0.6663  0.3326  0.4446
Pr  0.3337  0.6674  0.5554
Pr  0.0000  0.0000  0.0000
Sm  0.3330  0.6660  0.8897
Sm  0.0005  0.0010  0.3317
Sm  0.9995  0.9990  0.6683
Sm  0.6670  0.3340  0.1103
Y  0.3330  0.6660  0.2217
Y  0.6670  0.3340  0.7783

## Properties
- calculated formation energy (meV/atom) = 15
- mass density (g cm⁻³) = 6.47
- DOS at the Fermi energy (states/eV per cell) = 12.13
- total moment (μB per cell) = 0.000